(1)
# Ta2TeMo PBE-GGA optimized geometry
data_Ta2TeMo
_chemical_formula_sum 'Ta4 Te2 Mo2'
_cell_length_a 10.357
_cell_length_b 3.429
_cell_length_c 4.554
_cell_angle_alpha 90.00
_cell_angle_beta 115.83
_cell_angle_gamma 90.00
_space_group_name_H-M_alt 'C 1 m 1'
_space_group_IT_number 8
loop_
_space_group_symop_operation_xyz
'x,y,z'
'x,-y,z'
'x+1/2,y+1/2,z'
'x+1/2,-y+1/2,z'
loop_
_atom_site_label
_atom_site_type_symbol
_atom_site_fract_x
_atom_site_fract_y
_atom_site_fract_z
_atom_site_occupancy
Ta1 Ta 0.000 0.000 0.000 1
Ta2 Ta 0.248 0.000 0.748 1
Te1 Te 0.261 0.500 0.262 1
Mo1 Mo 0.009 0.500 0.509 1
# - formation energy without anion corrections (meV per atom) = 188

=====

(2)
# Ta2TeMo PBE-GGA optimized geometry
data_Ta2TeMo
_chemical_formula_sum 'Ta4 Te2 Mo2'
_cell_length_a 3.393
_cell_length_b 5.130
_cell_length_c 8.811
_cell_angle_alpha 90.00
_cell_angle_beta 90.00
_cell_angle_gamma 90.00
_space_group_name_H-M_alt 'C m m m'
_space_group_IT_number 65
_space_group_name_Hall '-C 2 2'
loop_
_atom_site_label
_atom_site_type_symbol
_atom_site_fract_x
_atom_site_fract_y
_atom_site_fract_z
_atom_site_occupancy
Ta1 Ta 0.000 0.000 0.234 1
Te1 Te 0.000 0.500 0.500 1
Mo1 Mo 0.000 0.500 0.000 1
# - formation energy without anion corrections (meV per atom) = 291

=====

(3)
# TaTe3Mo PBE-GGA optimized geometry
data_TaTe3Mo
_chemical_formula_sum 'Ta4 Te12 Mo4'
_cell_length_a 18.532
_cell_length_b 3.230
_cell_length_c 10.190
_cell_angle_alpha 90.00
_cell_angle_beta 111.09
_cell_angle_gamma 90.00
_space_group_name_H-M_alt 'C 1 2/m 1'
_space_group_IT_number 12
loop_
_space_group_symop_operation_xyz
'x,y,z'
'-x,-y,-z'
'-x,y,-z'
'x,-y,z'
'x+1/2,y+1/2,z'
'-x+1/2,-y+1/2,-z'
'-x+1/2,y+1/2,-z'
'x+1/2,-y+1/2,z'
loop_
_atom_site_label
_atom_site_type_symbol
_atom_site_fract_x
_atom_site_fract_y
_atom_site_fract_z
_atom_site_occupancy
Ta1 Ta 0.067 0.000 0.218 1
Te1 Te 0.077 0.000 0.753 1
Te2 Te 0.142 0.500 0.450 1
Te3 Te 0.189 0.000 0.122 1
Mo1 Mo 0.062 0.500 0.970 1
# - offset from the most stable computed form (meV per atom) = 0
# - formation energy without anion corrections (meV per atom) = -123

=====

(4)
# TaTeMo3 PBE-GGA optimized geometry
data_TaTeMo3
_chemical_formula_sum 'Ta1 Te1 Mo3'
_cell_length_a 4.795
_cell_length_b 4.795
_cell_length_c 4.795
_cell_angle_alpha 90.00
_cell_angle_beta 90.00
_cell_angle_gamma 90.00
_space_group_name_H-M_alt 'P m -3 m'
_space_group_IT_number 221
_space_group_name_Hall '-P 4 2 3'
loop_
_atom_site_label
_atom_site_type_symbol
_atom_site_fract_x
_atom_site_fract_y
_atom_site_fract_z
_atom_site_occupancy
Ta1 Ta 0.000 0.000 0.000 1
Te1 Te 0.500 0.500 0.500 1
Mo1 Mo 0.000 0.500 0.500 1
# - offset from the most stable computed form (meV per atom) = 165
# - formation energy without anion corrections (meV per atom) = 1918

=====

(5)
# TaTe3Mo PBE-GGA optimized geometry
data_TaTe3Mo
_chemical_formula_sum 'Ta1 Te3 Mo1'
_cell_length_a 5.406
_cell_length_b 5.406
_cell_length_c 5.406
_cell_angle_alpha 90.00
_cell_angle_beta 90.00
_cell_angle_gamma 90.00
_space_group_name_H-M_alt 'P m -3 m'
_space_group_IT_number 221
_space_group_name_Hall '-P 4 2 3'
loop_
_atom_site_label
_atom_site_type_symbol
_atom_site_fract_x
_atom_site_fract_y
_atom_site_fract_z
_atom_site_occupancy
Ta1 Ta 0.000 0.000 0.000 1
Te1 Te 0.000 0.000 0.500 1
Mo1 Mo 0.500 0.500 0.500 1
# - offset from the most stable computed form (meV per atom) = 1100
# - formation energy without anion corrections (meV per atom) = 978

=====

(6)
# TaTeMo PBE-GGA optimized geometry
data_TaTeMo
_chemical_formula_sum 'Ta4 Te4 Mo4'
_cell_length_a 6.332
_cell_length_b 6.332
_cell_length_c 6.332
_cell_angle_alpha 90.00
_cell_angle_beta 90.00
_cell_angle_gamma 90.00
_space_group_name_H-M_alt 'F -4 3 m'
_space_group_IT_number 216
_space_group_name_Hall 'F -4 2 3'
loop_
_atom_site_label
_atom_site_type_symbol
_atom_site_fract_x
_atom_site_fract_y
_atom_site_fract_z
_atom_site_occupancy
Ta1 Ta 0.000 0.000 0.000 1
Te1 Te 0.000 0.000 0.500 1
Mo1 Mo 0.250 0.250 0.750 1
# - offset from the most stable computed form (meV per atom) = 175
# - formation energy without anion corrections (meV per atom) = 388

=====

(7)
# TaTeMo PBE-GGA optimized geometry
data_TaTeMo
_chemical_formula_sum 'Ta1 Te1 Mo1'
_cell_length_a 3.3133
_cell_length_b 3.3133
_cell_length_c 6.4056
_cell_angle_alpha 90.00
_cell_angle_beta 90.00
_cell_angle_gamma 120.00
_space_group_name_H-M_alt 'P 3 m 1'
_space_group_IT_number 156
loop_
_space_group_symop_operation_xyz
'x,y,z'
'-y,x-y,z'
'-x+y,-x,z'
'-y,-x,z'
'-x+y,y,z'
'x,x-y,z'
loop_
_atom_site_label
_atom_site_type_symbol
_atom_site_fract_x
_atom_site_fract_y
_atom_site_fract_z
_atom_site_occupancy
Ta1 Ta 0.0000 0.0000 0.0000 1
Te1 Te 0.6667 0.3333 0.3640 1
Mo1 Mo 0.3333 0.6667 0.7206 1
# - offset from the most stable computed form (meV per atom) = 93
# - formation energy without anion corrections (meV per atom) = 306

=====

(8)
# Ta2Te6Mo PBE-GGA optimized geometry
data_Ta2Te6Mo
_chemical_formula_sum 'Ta4 Te12 Mo2'
_cell_length_a 18.164
_cell_length_b 3.656
_cell_length_c 8.378
_cell_angle_alpha 90.00
_cell_angle_beta 113.97
_cell_angle_gamma 90.00
_space_group_name_H-M_alt 'C 1 2/m 1'
_space_group_IT_number 12
loop_
_space_group_symop_operation_xyz
'x,y,z'
'-x,-y,-z'
'-x,y,-z'
'x,-y,z'
'x+1/2,y+1/2,z'
'-x+1/2,-y+1/2,-z'
'-x+1/2,y+1/2,-z'
'x+1/2,-y+1/2,z'
loop_
_atom_site_label
_atom_site_type_symbol
_atom_site_fract_x
_atom_site_fract_y
_atom_site_fract_z
_atom_site_occupancy
Ta1 Ta 0.143 0.000 0.275 1
Te1 Te 0.008 0.000 0.752 1
Te2 Te 0.166 0.500 0.055 1
Te3 Te 0.179 0.500 0.555 1
Mo1 Mo 0.000 0.500 0.000 1
# - formation energy without anion corrections (meV per atom) = -316

=====

(9)
# Ta2TeMo PBE-GGA optimized geometry
data_Ta2TeMo
_chemical_formula_sum 'Ta2 Te1 Mo1'
_cell_length_a 3.414
_cell_length_b 4.573
_cell_length_c 4.667
_cell_angle_alpha 90.00
_cell_angle_beta 90.00
_cell_angle_gamma 90.00
_space_group_name_H-M_alt 'P m m m'
_space_group_IT_number 47
loop_
_space_group_symop_operation_xyz
'x,y,z'
'-x,-y,-z'
'-x,-y,z'
'x,y,-z'
'x,-y,-z'
'-x,y,z'
'-x,y,-z'
'x,-y,z'
loop_
_atom_site_label
_atom_site_type_symbol
_atom_site_fract_x
_atom_site_fract_y
_atom_site_fract_z
_atom_site_occupancy
Ta1 Ta 0.000 0.000 0.000 1
Ta2 Ta 0.500 0.000 0.500 1
Te1 Te 0.000 0.500 0.500 1
Mo1 Mo 0.500 0.500 0.000 1
# - formation energy without anion corrections (meV per atom) = 227

=====

(10)
# TaTeMo PBE-GGA optimized geometry
data_TaTeMo
_chemical_formula_sum 'Ta1 Te1 Mo1'
_cell_length_a 4.6137
_cell_length_b 4.6137
_cell_length_c 3.0643
_cell_angle_alpha 90.00
_cell_angle_beta 90.00
_cell_angle_gamma 120.00
_space_group_name_H-M_alt 'P 3 m 1'
_space_group_IT_number 156
loop_
_space_group_symop_operation_xyz
'x,y,z'
'-y,x-y,z'
'-x+y,-x,z'
'-y,-x,z'
'-x+y,y,z'
'x,x-y,z'
loop_
_atom_site_label
_atom_site_type_symbol
_atom_site_fract_x
_atom_site_fract_y
_atom_site_fract_z
_atom_site_occupancy
Ta1 Ta 0.0000 0.0000 0.0000 1
Te1 Te 0.6667 0.3333 0.5574 1
Mo1 Mo 0.3333 0.6667 0.5812 1
# - offset from the most stable computed form (meV per atom) = 144
# - formation energy without anion corrections (meV per atom) = 357

=====

(11)
# Ta2TeMo PBE-GGA optimized geometry
data_Ta2TeMo
_chemical_formula_sum 'Ta2 Te1 Mo1'
_cell_length_a 3.416
_cell_length_b 3.416
_cell_length_c 6.439
_cell_angle_alpha 90.00
_cell_angle_beta 90.00
_cell_angle_gamma 90.00
_space_group_name_H-M_alt 'P 4/m m m'
_space_group_IT_number 123
_space_group_name_Hall '-P 4 2'
loop_
_atom_site_label
_atom_site_type_symbol
_atom_site_fract_x
_atom_site_fract_y
_atom_site_fract_z
_atom_site_occupancy
Ta1 Ta 0.000 0.000 0.225 1
Te1 Te 0.500 0.500 0.500 1
Mo1 Mo 0.500 0.500 0.000 1
# - formation energy without anion corrections (meV per atom) = 156

=====

(12)
# Ta2TeMo2 PBE-GGA optimized geometry
data_Ta2TeMo2
_chemical_formula_sum 'Ta4 Te2 Mo4'
_cell_length_a 7.710
_cell_length_b 7.710
_cell_length_c 3.233
_cell_angle_alpha 90.00
_cell_angle_beta 90.00
_cell_angle_gamma 90.00
_space_group_name_H-M_alt 'P 4/m b m'
_space_group_IT_number 127
_space_group_name_Hall '-P 4 2ab'
loop_
_atom_site_label
_atom_site_type_symbol
_atom_site_fract_x
_atom_site_fract_y
_atom_site_fract_z
_atom_site_occupancy
Ta1 Ta 0.144 0.356 0.000 1
Te1 Te 0.000 0.000 0.500 1
Mo1 Mo 0.142 0.642 0.500 1
# - offset from the most stable computed form (meV per atom) = 0
# - formation energy without anion corrections (meV per atom) = 535

=====

(13)
# Ta2TeMo PBE-GGA optimized geometry
data_Ta2TeMo
_chemical_formula_sum 'Ta4 Te2 Mo2'
_cell_length_a 3.382
_cell_length_b 5.087
_cell_length_c 8.928
_cell_angle_alpha 90.00
_cell_angle_beta 90.00
_cell_angle_gamma 90.00
_space_group_name_H-M_alt 'C m m 2'
_space_group_IT_number 35
loop_
_space_group_symop_operation_xyz
'x,y,z'
'-x,-y,z'
'-x,y,z'
'x,-y,z'
'x+1/2,y+1/2,z'
'-x+1/2,-y+1/2,z'
'-x+1/2,y+1/2,z'
'x+1/2,-y+1/2,z'
loop_
_atom_site_label
_atom_site_type_symbol
_atom_site_fract_x
_atom_site_fract_y
_atom_site_fract_z
_atom_site_occupancy
Ta1 Ta 0.000 0.000 0.000 1
Ta2 Ta 0.000 0.500 0.250 1
Te1 Te 0.000 0.000 0.508 1
Mo1 Mo 0.000 0.500 0.773 1
# - formation energy without anion corrections (meV per atom) = 328

=====

(14)
# Ta2TeMo PBE-GGA optimized geometry
data_Ta2TeMo
_chemical_formula_sum 'Ta2 Te1 Mo1'
_cell_length_a 3.140
_cell_length_b 4.693
_cell_length_c 5.324
_cell_angle_alpha 90.00
_cell_angle_beta 104.87
_cell_angle_gamma 90.00
_space_group_name_H-M_alt 'P 1 m 1'
_space_group_IT_number 6
loop_
_space_group_symop_operation_xyz
'x,y,z'
'x,-y,z'
loop_
_atom_site_label
_atom_site_type_symbol
_atom_site_fract_x
_atom_site_fract_y
_atom_site_fract_z
_atom_site_occupancy
Ta1 Ta 0.000 0.000 0.000 1
Ta2 Ta 0.217 0.500 0.732 1
Te1 Te 0.523 0.500 0.265 1
Mo1 Mo 0.511 0.000 0.534 1
# - formation energy without anion corrections (meV per atom) = 237